Entry 1:
# EuPuHgPd

A relaxed structure of EuPuHgPd (GGA-PBE, Alexandria).

Summary:
* energy of formation: -0.32 eV/atom

Lattice parameters (Å, degrees): 7.410 7.410 7.410 90.00 90.00 90.00
Space group F-43m (No. 216)
Symmetry-distinct sites (fractional):
Eu: 0.000 0.000 0.000
Pu: 0.000 0.000 0.500
Hg: 0.250 0.250 0.750
Pd: 0.250 0.250 0.250



Entry 2:
# EuHgSbPd

A relaxed structure of EuHgSbPd (GGA-PBE, Alexandria).

Summary:
* ΔE_f (raw): -489 meV per atom

Lattice parameters (Å, degrees): 7.224 7.224 7.224 90.00 90.00 90.00
Space group F-43m (No. 216)
Symmetry-distinct sites (fractional):
Eu: 0.000 0.000 0.000
Hg: 0.250 0.250 0.250
Sb: 0.000 0.000 0.500
Pd: 0.250 0.250 0.750



Entry 3:
# SmEuHgPd

A relaxed structure of SmEuHgPd (GGA-PBE, Alexandria).

Summary:
* energy of formation: -0.57 eV/atom

Lattice parameters (Å, degrees): 7.432 7.432 7.432 90.00 90.00 90.00
Space group F-43m (No. 216)
Symmetry-distinct sites (fractional):
Sm: 0.000 0.000 0.000
Eu: 0.000 0.000 0.500
Hg: 0.250 0.250 0.750
Pd: 0.250 0.250 0.250



Entry 4:
# EuSnHgPd

A relaxed structure of EuSnHgPd (GGA-PBE, Alexandria).

Summary:
* energy of formation: -0.49 eV/atom

Lattice parameters (Å, degrees): 7.201 7.201 7.201 90.00 90.00 90.00
Space group F-43m (No. 216)
Symmetry-distinct sites (fractional):
Eu: 0.000 0.000 0.000
Sn: 0.000 0.000 0.500
Hg: 0.250 0.250 0.250
Pd: 0.250 0.250 0.750



Entry 5:
# SrEuHgPd

A relaxed structure of SrEuHgPd (GGA-PBE, Alexandria).

Summary:
* energy of formation: -0.52 eV/atom

Lattice parameters (Å, degrees): 7.634 7.634 7.634 90.00 90.00 90.00
Space group F-43m (No. 216)
Symmetry-distinct sites (fractional):
Sr: 0.000 0.000 0.000
Eu: 0.000 0.000 0.500
Hg: 0.250 0.250 0.750
Pd: 0.250 0.250 0.250



Entry 6:
# EuThHgPd

A relaxed structure of EuThHgPd (GGA-PBE, Alexandria).

Summary:
* energy of formation: -0.43 eV/atom

Lattice parameters (Å, degrees): 7.475 7.475 7.475 90.00 90.00 90.00
Space group F-43m (No. 216)
Symmetry-distinct sites (fractional):
Eu: 0.000 0.000 0.000
Th: 0.000 0.000 0.500
Hg: 0.250 0.250 0.250
Pd: 0.250 0.250 0.750



Entry 7:
# EuTlHgPd

A relaxed structure of EuTlHgPd (GGA-PBE, Alexandria).

Summary:
* energy of formation: -0.36 eV/atom

Lattice parameters (Å, degrees): 7.299 7.299 7.299 90.00 90.00 90.00
Space group F-43m (No. 216)
Symmetry-distinct sites (fractional):
Eu: 0.000 0.000 0.000
Tl: 0.000 0.000 0.500
Hg: 0.250 0.250 0.250
Pd: 0.250 0.250 0.750



Entry 8:
# PmEuHg2

A relaxed structure of PmEuHg2 (GGA-PBE, Alexandria).

Summary:
* energy of formation: -0.52 eV/atom

Lattice parameters (Å, degrees): 5.427 5.427 3.863 90.00 90.00 90.00
Space group P4/mmm (No. 123)
Symmetry-distinct sites (fractional):
Pm: 0.000 0.000 0.000
Eu: 0.500 0.500 0.000
Hg: 0.000 0.500 0.500



Entry 9:
# PmEuHg2

A relaxed structure of PmEuHg2 (GGA-PBE, Alexandria).

Summary:
* energy of formation: -0.34 eV/atom

Lattice parameters (Å, degrees): 3.9923 3.9923 27.5108 90.00 90.00 120.00
Space group R-3m (No. 166, hexagonal axes)
Symmetry-distinct sites (fractional):
Pm: 0.0000 0.0000 0.0000
Eu: 0.0000 0.0000 0.5000
Hg: 0.0000 0.0000 0.2531



Entry 10:
# PmEu2Hg

A relaxed structure of PmEu2Hg (GGA-PBE, Alexandria).

Summary:
* energy of formation: -0.21 eV/atom
* offset from the most stable computed form: 0.0 kJ per mole of atoms

Lattice parameters (Å, degrees): 3.812 3.812 9.311 90.00 90.00 90.00
Space group P4/mmm (No. 123)
Symmetry-distinct sites (fractional):
Pm: 0.000 0.000 0.000
Eu: 0.500 0.500 0.290
Hg: 0.000 0.000 0.500



Entry 11:
# PmEuHg4

A relaxed structure of PmEuHg4 (GGA-PBE, Alexandria).

Summary:
* energy of formation: -0.29 eV/atom

Lattice parameters (Å, degrees): 8.576 8.576 8.576 90.00 90.00 90.00
Space group F-43m (No. 216)
Symmetry-distinct sites (fractional):
Pm: 0.000 0.000 0.000
Eu: 0.250 0.250 0.750
Hg: 0.125 0.125 0.375



Entry 12:
# PmEuHg2

A relaxed structure of PmEuHg2 (GGA-PBE, Alexandria).

Summary:
* energy of formation: -0.50 eV/atom

Lattice parameters (Å, degrees): 7.687 7.687 7.687 90.00 90.00 90.00
Space group Fm-3m (No. 225)
Symmetry-distinct sites (fractional):
Pm: 0.000 0.000 0.000
Eu: 0.000 0.000 0.500
Hg: 0.250 0.250 0.250



Entry 13:
# PmEuHg

A relaxed structure of PmEuHg (GGA-PBE, Alexandria).

Summary:
* energy of formation: -0.19 eV/atom
* offset from the most stable computed form: 10.8 kJ per mole of atoms

Lattice parameters (Å, degrees): 5.2896 5.2896 3.8839 90.00 90.00 120.00
Space group P3m1 (No. 156)
Symmetry-distinct sites (fractional):
Pm: 0.0000 0.0000 0.0000
Eu: 0.6667 0.3333 0.4439
Hg: 0.3333 0.6667 0.7770



Entry 14:
# Pm2EuHg

A relaxed structure of Pm2EuHg (GGA-PBE, Alexandria).

Summary:
* energy of formation: -0.13 eV/atom
* offset from the most stable computed form: 4.8 kJ per mole of atoms

Lattice parameters (Å, degrees): 5.014 5.014 4.841 90.00 90.00 90.00
Space group P4/mmm (No. 123)
Symmetry-distinct sites (fractional):
Pm: 0.000 0.500 0.000
Eu: 0.000 0.000 0.500
Hg: 0.500 0.500 0.500



Entry 15:
# PmEu2Hg

A relaxed structure of PmEu2Hg (GGA-PBE, Alexandria).

Summary:
* energy of formation: 0.02 eV/atom
* offset from the most stable computed form: 22.0 kJ per mole of atoms

Lattice parameters (Å, degrees): 3.6696 3.6696 36.2615 90.00 90.00 120.00
Space group R-3m (No. 166, hexagonal axes)
Symmetry-distinct sites (fractional):
Pm: 0.0000 0.0000 0.0000
Eu: 0.0000 0.0000 0.0969
Hg: 0.0000 0.0000 0.5000



Entry 16:
# PmEuHg

A relaxed structure of PmEuHg (GGA-PBE, Alexandria).

Summary:
* energy of formation: -0.30 eV/atom
* offset from the most stable computed form: 0.0 kJ per mole of atoms

Lattice parameters (Å, degrees): 3.840 3.840 13.119 90.00 90.00 90.00
Space group I4mm (No. 107)
Symmetry-distinct sites (fractional):
Pm: 0.000 0.000 0.000
Eu: 0.000 0.000 0.713
Hg: 0.000 0.000 0.367



Entry 17:
# Pm2EuHg

A relaxed structure of Pm2EuHg (GGA-PBE, Alexandria).

Summary:
* energy of formation: -0.18 eV/atom
* offset from the most stable computed form: 0.0 kJ per mole of atoms

Lattice parameters (Å, degrees): 3.809 3.809 8.971 90.00 90.00 90.00
Space group P4/mmm (No. 123)
Symmetry-distinct sites (fractional):
Pm: 0.000 0.000 0.208
Eu: 0.500 0.500 0.500
Hg: 0.500 0.500 0.000



Entry 18:
# PmEu2Hg

A relaxed structure of PmEu2Hg (GGA-PBE, Alexandria).

Summary:
* energy of formation: -0.03 eV/atom
* offset from the most stable computed form: 16.8 kJ per mole of atoms

Lattice parameters (Å, degrees): 7.962 7.962 7.962 90.00 90.00 90.00
Space group Fm-3m (No. 225)
Symmetry-distinct sites (fractional):
Pm: 0.000 0.000 0.000
Eu: 0.250 0.250 0.250
Hg: 0.000 0.000 0.500



Entry 19:
# Pm2EuHg

A relaxed structure of Pm2EuHg (GGA-PBE, Alexandria).

Summary:
* energy of formation: -0.08 eV/atom
* offset from the most stable computed form: 10.2 kJ per mole of atoms

Lattice parameters (Å, degrees): 7.863 7.863 7.863 90.00 90.00 90.00
Space group Fm-3m (No. 225)
Symmetry-distinct sites (fractional):
Pm: 0.250 0.250 0.250
Eu: 0.000 0.000 0.000
Hg: 0.000 0.000 0.500



Entry 20:
# PmEu2Hg

A relaxed structure of PmEu2Hg (GGA-PBE, Alexandria).

Summary:
* energy of formation: -0.13 eV/atom
* offset from the most stable computed form: 7.8 kJ per mole of atoms

Lattice parameters (Å, degrees): 5.004 5.004 5.072 90.00 90.00 90.00
Space group P4/mmm (No. 123)
Symmetry-distinct sites (fractional):
Pm: 0.000 0.000 0.000
Eu: 0.000 0.500 0.500
Hg: 0.500 0.500 0.000



Entry 21:
# PmEuHg

A relaxed structure of PmEuHg (GGA-PBE, Alexandria).

Summary:
* energy of formation: -0.14 eV/atom
* offset from the most stable computed form: 15.4 kJ per mole of atoms

Lattice parameters (Å, degrees): 7.503 7.503 7.503 90.00 90.00 90.00
Space group F-43m (No. 216)
Symmetry-distinct sites (fractional):
Pm: 0.000 0.000 0.000
Eu: 0.000 0.000 0.500
Hg: 0.250 0.250 0.750



Entry 22:
# PmEuHgRh

A relaxed structure of PmEuHgRh (GGA-PBE, Alexandria).

Summary:
* energy of formation: -0.46 eV/atom

Lattice parameters (Å, degrees): 7.346 7.346 7.346 90.00 90.00 90.00
Space group F-43m (No. 216)
Symmetry-distinct sites (fractional):
Pm: 0.000 0.000 0.000
Eu: 0.000 0.000 0.500
Hg: 0.250 0.250 0.750
Rh: 0.250 0.250 0.250



Entry 23:
# PmEuHgSb

A relaxed structure of PmEuHgSb (GGA-PBE, Alexandria).

Summary:
* ΔE_f (raw): -687 meV per atom

Lattice parameters (Å, degrees): 7.727 7.727 7.727 90.00 90.00 90.00
Space group F-43m (No. 216)
Symmetry-distinct sites (fractional):
Pm: 0.000 0.000 0.000
Eu: 0.000 0.000 0.500
Hg: 0.250 0.250 0.250
Sb: 0.250 0.250 0.750



Entry 24:
# PmEuScHg

A relaxed structure of PmEuScHg (GGA-PBE, Alexandria).

Summary:
* energy of formation: 0.00 eV/atom

Lattice parameters (Å, degrees): 7.610 7.610 7.610 90.00 90.00 90.00
Space group F-43m (No. 216)
Symmetry-distinct sites (fractional):
Pm: 0.000 0.000 0.000
Eu: 0.250 0.250 0.250
Sc: 0.250 0.250 0.750
Hg: 0.000 0.000 0.500



Entry 25:
# PmEuSiHg

A relaxed structure of PmEuSiHg (GGA-PBE, Alexandria).

Summary:
* ΔE_f (raw): -450 meV per atom

Lattice parameters (Å, degrees): 7.479 7.479 7.479 90.00 90.00 90.00
Space group F-43m (No. 216)
Symmetry-distinct sites (fractional):
Pm: 0.000 0.000 0.000
Eu: 0.000 0.000 0.500
Si: 0.250 0.250 0.750
Hg: 0.250 0.250 0.250



Entry 26:
# PmSmEuHg

A relaxed structure of PmSmEuHg (GGA-PBE, Alexandria).

Summary:
* energy of formation: -0.02 eV/atom

Lattice parameters (Å, degrees): 7.881 7.881 7.881 90.00 90.00 90.00
Space group F-43m (No. 216)
Symmetry-distinct sites (fractional):
Pm: 0.000 0.000 0.000
Sm: 0.250 0.250 0.750
Eu: 0.250 0.250 0.250
Hg: 0.000 0.000 0.500



Entry 27:
# PrEuHg

A relaxed structure of PrEuHg (GGA-PBE, Alexandria).

Summary:
* energy of formation: -0.31 eV/atom
* offset from the most stable computed form: 0.0 kJ per mole of atoms

Lattice parameters (Å, degrees): 3.863 3.863 13.239 90.00 90.00 90.00
Space group I4mm (No. 107)
Symmetry-distinct sites (fractional):
Pr: 0.000 0.000 0.000
Eu: 0.000 0.000 0.713
Hg: 0.000 0.000 0.362



Entry 28:
# PrEuHg

A relaxed structure of PrEuHg (GGA-PBE, Alexandria).

Summary:
* energy of formation: -0.16 eV/atom
* offset from the most stable computed form: 14.5 kJ per mole of atoms

Lattice parameters (Å, degrees): 7.561 7.561 7.561 90.00 90.00 90.00
Space group F-43m (No. 216)
Symmetry-distinct sites (fractional):
Pr: 0.000 0.000 0.000
Eu: 0.000 0.000 0.500
Hg: 0.250 0.250 0.750



Entry 29:
# PrEuHg2

A relaxed structure of PrEuHg2 (GGA-PBE, Alexandria).

Summary:
* energy of formation: -0.34 eV/atom

Lattice parameters (Å, degrees): 4.0295 4.0295 27.6710 90.00 90.00 120.00
Space group R-3m (No. 166, hexagonal axes)
Symmetry-distinct sites (fractional):
Pr: 0.0000 0.0000 0.0000
Eu: 0.0000 0.0000 0.5000
Hg: 0.0000 0.0000 0.2518



Entry 30:
# PrEuHg2

A relaxed structure of PrEuHg2 (GGA-PBE, Alexandria).

Summary:
* energy of formation: -0.51 eV/atom

Lattice parameters (Å, degrees): 7.746 7.746 7.746 90.00 90.00 90.00
Space group Fm-3m (No. 225)
Symmetry-distinct sites (fractional):
Pr: 0.000 0.000 0.000
Eu: 0.000 0.000 0.500
Hg: 0.250 0.250 0.250



Entry 31:
# PrEuHg4

A relaxed structure of PrEuHg4 (GGA-PBE, Alexandria).

Summary:
* energy of formation: -0.30 eV/atom

Lattice parameters (Å, degrees): 8.611 8.611 8.611 90.00 90.00 90.00
Space group F-43m (No. 216)
Symmetry-distinct sites (fractional):
Pr: 0.000 0.000 0.000
Eu: 0.250 0.250 0.750
Hg: 0.125 0.125 0.375



no.,Fermi-level density of states (states/eV/cell)
1,77.9
2,39.1
3,36.5
4,50.4
5,36.6
6,22.0
7,48.4
8,5.5
9,33.6
10,9.4
11,17.3
12,15.2
13,2.7
14,5.0
15,14.4
16,6.8
17,4.6
18,20.0
19,18.1
20,4.8
21,16.9
22,36.0
23,16.8
24,22.7
25,10.7
26,24.6
27,6.6
28,19.8
29,36.3
30,14.8
31,19.5